(1)
DFT (PBEsol) results for a geometry-optimized ZrFe2W structure.

Energy of formation from the pure elements ... 2.21 kcal/mol of atoms
E ... -0.372 Ha/atom
Spin magnetization ... 3.21 μB per cell

Cell: 3.057 3.057 6.221 Å, 90.00 90.00 90.00°
Space group P4mm (No. 99)
Inequivalent atoms, fractional coordinates:
Zr  0.000  0.000  0.000 [1 per cell]
Fe  0.000  0.000  0.473 [1 per cell]
Fe  0.500  0.500  0.263 [1 per cell]
W  0.500  0.500  0.689 [1 per cell]

(2)
DFT (PBEsol) results for a geometry-optimized CaCuSi2 structure.

ΔE_f (raw) ... 0.133 eV per atom
E ... -0.160 Ha/atom
Spin magnetization ... 0.00 μB per cell

Cell: 6.463 6.463 6.463 Å, 90.00 90.00 90.00°
Space group Fm-3m (No. 225)
Inequivalent atoms, fractional coordinates:
Ca  0.000  0.000  0.000 [4 per cell]
Cu  0.000  0.000  0.500 [4 per cell]
Si  0.250  0.250  0.250 [8 per cell]

(3)
DFT (PBEsol) results for a geometry-optimized ZnRe2Ir structure.

Energy of formation from the pure elements ... 2.38 kcal/mol of atoms
E ... -0.346 Ha/atom
Offset from the most stable computed form ... 0 meV/atom
Spin magnetization ... 0.00 μB per cell

Cell: 2.719 4.014 5.171 Å, 90.00 90.00 90.00°
Space group Pmmm (No. 47)
Inequivalent atoms, fractional coordinates:
Zn  0.000  0.000  0.000 [1 per cell]
Re  0.500  0.500  0.240 [2 per cell]
Ir  0.000  0.000  0.500 [1 per cell]

(4)
DFT (PBEsol) results for a geometry-optimized Si2AsRh structure.

ΔE_f (raw) ... -0.075 eV per atom
E ... -0.230 Ha/atom
Offset from the most stable computed form ... 178 meV/atom
Spin magnetization ... 0.00 μB per cell

Cell: 2.900 2.900 6.971 Å, 90.00 90.00 90.00°
Space group P4mm (No. 99)
Inequivalent atoms, fractional coordinates:
Si  0.000  0.000  0.000 [1 per cell]
Si  0.500  0.500  0.230 [1 per cell]
As  0.000  0.000  0.541 [1 per cell]
Rh  0.500  0.500  0.797 [1 per cell]

(5)
DFT (PBEsol) results for a geometry-optimized Li2YW structure.

Energy of formation from the pure elements ... 21.76 kcal/mol of atoms
E ... -0.191 Ha/atom
Offset from the most stable computed form ... 379 meV/atom
Spin magnetization ... 0.00 μB per cell

Cell: 3.901 3.901 21.509 Å, 90.00 90.00 90.00°
Space group I-42d (No. 122)
Inequivalent atoms, fractional coordinates:
Li  0.206  0.750  0.125 [8 per cell]
Y  0.000  0.000  0.500 [4 per cell]
W  0.000  0.000  0.000 [4 per cell]

(6)
DFT (PBEsol) results for a geometry-optimized Cd2HgPt structure.

Energy of formation from the pure elements ... -3.01 kcal/mol of atoms
E ... -0.096 Ha/atom
Spin magnetization ... 0.00 μB per cell

Cell: 2.959 3.579 7.214 Å, 90.00 90.00 90.00°
Space group Pmmm (No. 47)
Inequivalent atoms, fractional coordinates:
Cd  0.000  0.000  0.219 [2 per cell]
Hg  0.500  0.500  0.500 [1 per cell]
Pt  0.500  0.500  0.000 [1 per cell]

(7)
DFT (PBEsol) results for a geometry-optimized ZrTlCo structure.

Energy of formation from the pure elements ... -0.41 kcal/mol of atoms
E ... -0.239 Ha/atom
Spin magnetization ... 0.00 μB per cell

Cell: 3.110 3.110 10.943 Å, 90.00 90.00 90.00°
Space group I4mm (No. 107)
Inequivalent atoms, fractional coordinates:
Zr  0.000  0.000  0.000 [2 per cell]
Tl  0.000  0.000  0.290 [2 per cell]
Co  0.000  0.000  0.632 [2 per cell]

(8)
DFT (PBEsol) results for a geometry-optimized SrOs3Pd structure.

Energy of formation from the pure elements ... 49.87 kcal/mol of atoms
E ... -0.247 Ha/atom
Spin magnetization ... 2.23 μB per cell

Cell: 4.753 4.753 4.753 Å, 90.00 90.00 90.00°
Space group Pm-3m (No. 221)
Inequivalent atoms, fractional coordinates:
Sr  0.000  0.000  0.000 [1 per cell]
Os  0.000  0.500  0.500 [3 per cell]
Pd  0.500  0.500  0.500 [1 per cell]